[1]
Here is a relaxed LuInCu2 crystal from the Alexandria database. Energies are from PBE.

abc: 6.5609 6.5609 6.5609
angles: 90.00 90.00 90.00
Space group Fm-3m (No. 225)
One atom of each set of equivalent atoms:
Lu 0.0000 0.0000 0.0000 x4
In 0.0000 0.0000 0.5000 x4
Cu 0.2500 0.2500 0.2500 x8

- Energy of formation from the pure elements: -0.32 eV per atom



[2]
Here is a relaxed LuInCu2 crystal from the Alexandria database. Energies are from PBE.

abc: 3.4056 3.4056 6.4020
angles: 90.00 90.00 90.00
Space group P4/mmm (No. 123)
One atom of each set of equivalent atoms:
Lu 0.0000 0.0000 0.0000 x1
In 0.0000 0.0000 0.5000 x1
Cu 0.5000 0.5000 0.2486 x2

- Energy of formation from the pure elements: -0.14 eV per atom



[3]
Here is a relaxed LuInCu2 crystal from the Alexandria database. Energies are from PBE.

abc: 4.5580 4.5580 3.5534
angles: 90.00 90.00 90.00
Space group P4/mmm (No. 123)
One atom of each set of equivalent atoms:
Lu 0.0000 0.0000 0.0000 x1
In 0.5000 0.5000 0.0000 x1
Cu 0.0000 0.5000 0.5000 x2

- Energy of formation from the pure elements: -0.14 eV per atom



[4]
Here is a relaxed LuIn2Cu crystal from the Alexandria database. Energies are from PBE.

abc: 4.4017 4.4017 4.4129
angles: 90.00 90.00 90.00
Space group P4/mmm (No. 123)
One atom of each set of equivalent atoms:
Lu 0.0000 0.0000 0.0000 x1
In 0.0000 0.5000 0.5000 x2
Cu 0.5000 0.5000 0.0000 x1

- Energy of formation from the pure elements: -0.20 eV per atom



[5]
Here is a relaxed LuMgInCu crystal from the Alexandria database. Energies are from PBE.

abc: 6.9131 6.9131 6.9131
angles: 90.00 90.00 90.00
Space group F-43m (No. 216)
One atom of each set of equivalent atoms:
Lu 0.0000 0.0000 0.0000 x4
Mg 0.0000 0.0000 0.5000 x4
In 0.2500 0.2500 0.7500 x4
Cu 0.2500 0.2500 0.2500 x4

- Energy of formation from the pure elements: -0.23 eV per atom



[6]
Here is a relaxed LuInCuNi crystal from the Alexandria database. Energies are from PBE.

abc: 6.4957 6.4957 6.4957
angles: 90.00 90.00 90.00
Space group F-43m (No. 216)
One atom of each set of equivalent atoms:
Lu 0.0000 0.0000 0.0000 x4
In 0.0000 0.0000 0.5000 x4
Cu 0.2500 0.2500 0.2500 x4
Ni 0.2500 0.2500 0.7500 x4

- Energy of formation from the pure elements: -0.35 eV per atom



[7]
Here is a relaxed LuInCuPd crystal from the Alexandria database. Energies are from PBE.

abc: 6.6607 6.6607 6.6607
angles: 90.00 90.00 90.00
Space group F-43m (No. 216)
One atom of each set of equivalent atoms:
Lu 0.0000 0.0000 0.0000 x4
In 0.0000 0.0000 0.5000 x4
Cu 0.2500 0.2500 0.2500 x4
Pd 0.2500 0.2500 0.7500 x4

- Energy of formation from the pure elements: -0.56 eV per atom



[8]
Here is a relaxed PrLuInCu crystal from the Alexandria database. Energies are from PBE.

abc: 7.3837 7.3837 7.3837
angles: 90.00 90.00 90.00
Space group F-43m (No. 216)
One atom of each set of equivalent atoms:
Pr 0.0000 0.0000 0.0000 x4
Lu 0.0000 0.0000 0.5000 x4
In 0.2500 0.2500 0.2500 x4
Cu 0.2500 0.2500 0.7500 x4

- Energy of formation from the pure elements: -0.27 eV per atom



[9]
Here is a relaxed LuInCuPt crystal from the Alexandria database. Energies are from PBE.

abc: 6.6659 6.6659 6.6659
angles: 90.00 90.00 90.00
Space group F-43m (No. 216)
One atom of each set of equivalent atoms:
Lu 0.0000 0.0000 0.0000 x4
In 0.0000 0.0000 0.5000 x4
Cu 0.2500 0.2500 0.2500 x4
Pt 0.2500 0.2500 0.7500 x4

- Energy of formation from the pure elements: -0.66 eV per atom



[10]
Here is a relaxed LuInCuRu crystal from the Alexandria database. Energies are from PBE.

abc: 6.5889 6.5889 6.5889
angles: 90.00 90.00 90.00
Space group F-43m (No. 216)
One atom of each set of equivalent atoms:
Lu 0.0000 0.0000 0.0000 x4
In 0.0000 0.0000 0.5000 x4
Cu 0.2500 0.2500 0.2500 x4
Ru 0.2500 0.2500 0.7500 x4

- Energy of formation from the pure elements: -0.23 eV per atom



[11]
Here is a relaxed SmLuInCu crystal from the Alexandria database. Energies are from PBE.

abc: 7.3038 7.3038 7.3038
angles: 90.00 90.00 90.00
Space group F-43m (No. 216)
One atom of each set of equivalent atoms:
Sm 0.0000 0.0000 0.0000 x4
Lu 0.0000 0.0000 0.5000 x4
In 0.2500 0.2500 0.7500 x4
Cu 0.2500 0.2500 0.2500 x4

- Energy of formation from the pure elements: -0.29 eV per atom



[12]
Here is a relaxed TbLuInCu crystal from the Alexandria database. Energies are from PBE.

abc: 7.2368 7.2368 7.2368
angles: 90.00 90.00 90.00
Space group F-43m (No. 216)
One atom of each set of equivalent atoms:
Tb 0.0000 0.0000 0.0000 x4
Lu 0.0000 0.0000 0.5000 x4
In 0.2500 0.2500 0.2500 x4
Cu 0.2500 0.2500 0.7500 x4

- Energy of formation from the pure elements: -0.31 eV per atom



Please write out number 7 again, unchanged.
Here is a relaxed LuInCuPd crystal from the Alexandria database. Energies are from PBE.

abc: 6.6607 6.6607 6.6607
angles: 90.00 90.00 90.00
Space group F-43m (No. 216)
One atom of each set of equivalent atoms:
Lu 0.0000 0.0000 0.0000 x4
In 0.0000 0.0000 0.5000 x4
Cu 0.2500 0.2500 0.2500 x4
Pd 0.2500 0.2500 0.7500 x4

- Energy of formation from the pure elements: -0.56 eV per atom